# 1
{
  "formula": "K2AlOF5",
  "functional": "GGA-PBE",
  "state": "relaxed",
  "lattice": [[-6.0420, 0.2892, -1.2830], [-0.2120, -1.7079, 5.9392], [-0.0946, 7.2164, 2.0718]],
  "species": ["F", "F", "O", "K", "F", "F", "Al", "O", "Al", "F", "K", "K", "F", "K", "F", "F", "F", "F"],
  "frac_coords": [[0.8094, 0.1906, 0.0000], [0.9823, 0.9823, 0.2500], [0.4012, 0.4012, 0.7500], [0.0493, 0.4987, 0.2500], [0.2282, 0.2282, 0.0192], [0.1906, 0.8094, 0.0000], [0.0000, 0.0000, 0.0000], [0.5988, 0.5988, 0.2500], [0.0000, 0.0000, 0.5000], [0.0177, 0.0177, 0.7500], [0.9507, 0.5013, 0.7500], [0.5013, 0.9507, 0.7500], [0.7718, 0.7718, 0.5192], [0.4987, 0.0493, 0.2500], [0.1906, 0.8094, 0.5000], [0.7718, 0.7718, 0.9808], [0.8094, 0.1906, 0.5000], [0.2282, 0.2282, 0.4808]],
  "e_form_raw_ev_per_fu": -23.22,
  "space_group": "No. 63"
}

=====

# 2
{
  "formula": "KAlOF2",
  "functional": "GGA-PBE",
  "state": "relaxed",
  "lattice": [[-3.5380, 2.3311, -2.0578], [-2.9400, -3.5229, 1.0639], [-1.0342, 2.1281, 4.1888]],
  "species": ["F", "Al", "K", "O", "F"],
  "frac_coords": [[0.5000, 0.0000, 0.0000], [0.5000, 0.5000, 0.5000], [0.0000, 0.0000, 0.0000], [0.0000, 0.0000, 0.5000], [0.0000, 0.5000, 0.0000]],
  "e_form_raw_ev_per_fu": -2.94,
  "de_polymorph_mev_per_atom": 2313.0,
  "space_group": "No. 123"
}

=====

# 3
{
  "formula": "KAlOF2",
  "functional": "GGA-PBE",
  "state": "relaxed",
  "lattice": [[4.0599, 0.0000, 0.0000], [0.0000, 4.0599, 0.0000], [0.0000, 0.0000, 3.5589]],
  "species": ["Al", "F", "F", "K", "O"],
  "frac_coords": [[0.0000, 0.0000, 0.0000], [0.0000, 0.5000, 0.0000], [0.5000, 0.0000, 0.0000], [0.5000, 0.5000, 0.5000], [0.0000, 0.0000, 0.5000]],
  "e_form_raw_ev_per_fu": -14.50,
  "de_polymorph_mev_per_atom": 0.0,
  "space_group": "No. 123"
}

=====

# 4
{
  "formula": "KAlPb2F",
  "functional": "GGA-PBE",
  "state": "relaxed",
  "lattice": [[6.2210, 0.0000, 0.0000], [0.0000, 5.9626, 0.0000], [0.0000, 0.0000, 6.2210]],
  "species": ["Al", "Pb", "K", "Pb", "F"],
  "frac_coords": [[0.0000, 0.5000, 0.0000], [0.5000, 0.0000, 0.0000], [0.0000, 0.0000, 0.0000], [0.0000, 0.0000, 0.5000], [0.5000, 0.5000, 0.5000]],
  "e_form_raw_ev_per_fu": 4.40,
  "space_group": "No. 123"
}

=====

# 5
{
  "formula": "KAlPbF6",
  "functional": "GGA-PBE",
  "state": "relaxed",
  "lattice": [[5.9193, 0.0021, 0.0005], [2.9615, 5.1250, -0.0004], [0.0005, -0.0008, 5.2983]],
  "species": ["F", "F", "Al", "K", "F", "F", "F", "Pb", "F"],
  "frac_coords": [[0.0752, 0.5889, 0.6984], [0.5884, 0.3361, 0.6987], [0.3333, 0.3334, 0.5001], [0.9999, 0.9999, 0.9997], [0.3359, 0.0756, 0.6986], [0.0761, 0.3350, 0.3016], [0.5893, 0.0757, 0.3019], [0.6666, 0.6666, 0.4994], [0.3351, 0.5888, 0.3016]],
  "e_form_raw_ev_per_fu": -27.11,
  "space_group": "No. 149"
}

=====

# 6
{
  "formula": "KAl2PbF8",
  "functional": "GGA-PBE",
  "state": "relaxed",
  "lattice": [[-2.0090, 2.7180, -3.7993], [-3.3712, -2.1380, -3.1500], [-9.0152, 2.9982, 3.5088]],
  "species": ["F", "F", "F", "F", "F", "Al", "Al", "F", "Pb", "K", "F", "F"],
  "frac_coords": [[0.4190, 0.7447, 0.7778], [0.9415, 0.5810, 0.2222], [0.2553, 0.9415, 0.2222], [0.1837, 0.1837, 0.4489], [0.8163, 0.8163, 0.5511], [0.2425, 0.2425, 0.2725], [0.7575, 0.7575, 0.7275], [0.7447, 0.0585, 0.7778], [0.0000, 0.0000, 0.0000], [0.5000, 0.5000, 0.5000], [0.0585, 0.4190, 0.7778], [0.5810, 0.2553, 0.2222]],
  "e_form_raw_ev_per_fu": -35.40,
  "space_group": "No. 148"
}

=====

# 7
{
  "formula": "K2AlPbF6",
  "functional": "GGA-PBE",
  "state": "relaxed",
  "lattice": [[-3.1715, -4.8580, 0.0118], [4.0233, -2.6122, 5.9450], [-5.3205, 3.4858, 5.1323]],
  "species": ["F", "F", "F", "F", "F", "K", "F", "F", "F", "K", "Al", "F", "F", "K", "F", "Al", "F", "K", "Pb", "Pb"],
  "frac_coords": [[0.0000, 0.8057, 0.7716], [0.2343, 0.6434, 0.0000], [0.0000, 0.8057, 0.2284], [0.7815, 0.9775, 0.0000], [0.2657, 0.3566, 0.5000], [0.0000, 0.1674, 0.7342], [0.5000, 0.1943, 0.7284], [0.7185, 0.0225, 0.5000], [0.7343, 0.3566, 0.5000], [0.5000, 0.8326, 0.7658], [0.5000, 0.1989, 0.5000], [0.5000, 0.1943, 0.2716], [0.2185, 0.9775, 0.0000], [0.5000, 0.8326, 0.2342], [0.2815, 0.0225, 0.5000], [0.0000, 0.8011, 0.0000], [0.7657, 0.6434, 0.0000], [0.0000, 0.1674, 0.2658], [0.0000, 0.6651, 0.5000], [0.5000, 0.3349, 0.0000]],
  "e_form_raw_ev_per_fu": -27.83,
  "space_group": "No. 59"
}

=====

# 8
{
  "formula": "K2AlPbF8",
  "functional": "GGA-PBE",
  "state": "relaxed",
  "lattice": [[-3.9165, 1.9641, 3.8625], [5.2980, -1.6700, 1.8050], [2.2345, 6.1551, -0.8641]],
  "species": ["F", "F", "F", "K", "F", "F", "F", "F", "K", "F", "Al", "Pb"],
  "frac_coords": [[0.3333, 0.6667, 0.5048], [0.1436, 0.8564, 0.1675], [0.2873, 0.1436, 0.8325], [0.3333, 0.6667, 0.8830], [0.8564, 0.1436, 0.8325], [0.8564, 0.7127, 0.8325], [0.6667, 0.3333, 0.4952], [0.1436, 0.2873, 0.1675], [0.6667, 0.3333, 0.1170], [0.7127, 0.8564, 0.1675], [0.0000, 0.0000, 0.0000], [0.0000, 0.0000, 0.5000]],
  "e_form_raw_ev_per_fu": -31.35,
  "space_group": "No. 164"
}

=====

# 9
{
  "formula": "K2AlPdF6",
  "functional": "GGA-PBE",
  "state": "relaxed",
  "lattice": [[5.7608, 0.0000, 0.0000], [0.0000, 5.7625, 0.0000], [0.0000, 0.0000, 9.3323]],
  "species": ["F", "Pd", "Pd", "F", "F", "F", "K", "K", "K", "F", "F", "F", "F", "Al", "F", "F", "F", "K", "F", "Al"],
  "frac_coords": [[0.7741, 0.5229, 0.0000], [0.0000, 0.7511, 0.5000], [0.5000, 0.2489, 0.0000], [0.7260, 0.0253, 0.5000], [0.0000, 0.7488, 0.8060], [0.7740, 0.9747, 0.0000], [0.5000, 0.7500, 0.7500], [0.5000, 0.7500, 0.2500], [0.0000, 0.2500, 0.7500], [0.5000, 0.2512, 0.3060], [0.5000, 0.2512, 0.6940], [0.7259, 0.4771, 0.5000], [0.2741, 0.4771, 0.5000], [0.5000, 0.2511, 0.5000], [0.2260, 0.9747, 0.0000], [0.0000, 0.7488, 0.1940], [0.2259, 0.5229, 0.0000], [0.0000, 0.2500, 0.2500], [0.2740, 0.0253, 0.5000], [0.0000, 0.7489, 0.0000]],
  "e_form_raw_ev_per_fu": -26.59,
  "space_group": "No. 59"
}

=====

# 10
{
  "formula": "KPuAl2F8",
  "functional": "GGA-PBE",
  "state": "relaxed",
  "lattice": [[5.0243, 0.0000, 0.0000], [2.5121, 4.3511, 0.0000], [2.5121, 1.4504, 9.5832]],
  "species": ["F", "Al", "Al", "F", "F", "F", "F", "F", "F", "Pu", "K", "F"],
  "frac_coords": [[0.2439, 0.9412, 0.2119], [0.2488, 0.2488, 0.2537], [0.7512, 0.7512, 0.7463], [0.6030, 0.2439, 0.2119], [0.9412, 0.6030, 0.2119], [0.1891, 0.1891, 0.4328], [0.0588, 0.3970, 0.7881], [0.7561, 0.0588, 0.7881], [0.8109, 0.8109, 0.5672], [0.0000, 0.0000, 0.0000], [0.5000, 0.5000, 0.5000], [0.3970, 0.7561, 0.7881]],
  "e_form_raw_ev_per_fu": -36.50,
  "space_group": "No. 148"
}

=====

# 11
{
  "formula": "KPuAlF6",
  "functional": "GGA-PBE",
  "state": "relaxed",
  "lattice": [[-0.7720, 2.2950, 5.5060], [4.0870, -4.3177, -0.9126], [6.7645, 6.8019, -1.8867]],
  "species": ["F", "F", "F", "F", "K", "F", "F", "Pu", "Al", "F", "K", "F", "F", "Al", "F", "F", "F", "Pu"],
  "frac_coords": [[0.3438, 0.4186, 0.8557], [0.5814, 0.9252, 0.8557], [0.0748, 0.4186, 0.6443], [0.6562, 0.0748, 0.3557], [0.0000, 0.0000, 0.0000], [0.3438, 0.9252, 0.6443], [0.4186, 0.0748, 0.1443], [0.6667, 0.3333, 0.7500], [0.3333, 0.6667, 0.7500], [0.4186, 0.3438, 0.3557], [0.0000, 0.0000, 0.5000], [0.0748, 0.6562, 0.8557], [0.6562, 0.5814, 0.1443], [0.6667, 0.3333, 0.2500], [0.5814, 0.6562, 0.6443], [0.9252, 0.5814, 0.3557], [0.9252, 0.3438, 0.1443], [0.3333, 0.6667, 0.2500]],
  "e_form_raw_ev_per_fu": -29.03,
  "space_group": "No. 163"
}

=====

# 12
{
  "formula": "K3Rb3AlF8",
  "functional": "GGA-PBE",
  "state": "relaxed",
  "lattice": [[7.6801, -0.0001, 0.0000], [-3.8402, 6.6503, -0.0229], [0.0001, -4.4106, 6.4985]],
  "species": ["F", "F", "Rb", "Rb", "F", "F", "Al", "F", "K", "K", "K", "F", "F", "Rb", "F"],
  "frac_coords": [[0.1689, 0.3378, 0.6640], [0.8311, 0.6622, 0.3360], [0.0000, 0.0000, 0.0000], [0.0000, 0.5000, 0.0000], [0.2562, 0.5124, 0.2685], [0.1735, 0.0045, 0.3357], [0.0000, 0.0000, 0.5000], [0.1690, 0.9955, 0.6643], [0.5000, 0.0000, 0.5000], [0.0000, 0.5000, 0.5000], [0.5000, 0.5000, 0.5000], [0.8265, 0.9955, 0.6643], [0.7438, 0.4876, 0.7315], [0.5000, 0.5000, 0.0000], [0.8310, 0.0045, 0.3357]],
  "e_form_raw_ev_per_fu": -41.91,
  "space_group": "No. 166"
}